# GaOsBr3 | Alexandria via LeMat-Bulk | PBE-GGA | relaxed
data_GaOsBr3
_space_group_name_H-M_alt 'P m -3 m'
_space_group_IT_number 221
_space_group_name_Hall '-P 4 2 3'
_cell_length_a 5.153
_cell_length_b 5.153
_cell_length_c 5.153
_cell_angle_alpha 90.00
_cell_angle_beta 90.00
_cell_angle_gamma 90.00
loop_
_atom_site_label
_atom_site_fract_x
_atom_site_fract_y
_atom_site_fract_z
Ga1 0.000 0.000 0.000
Os1 0.500 0.500 0.500
Br1 0.000 0.500 0.500
# - formation energy without anion corrections (eV per atom) = 0.3236
# - ΔE to the lowest computed polymorph (meV per atom) = 0


# NaGaIr2Pt | Alexandria via LeMat-Bulk | PBE-GGA | relaxed
data_NaGaIr2Pt
_space_group_name_H-M_alt 'P 4/m m m'
_space_group_IT_number 123
_space_group_name_Hall '-P 4 2'
_cell_length_a 4.827
_cell_length_b 4.827
_cell_length_c 5.079
_cell_angle_alpha 90.00
_cell_angle_beta 90.00
_cell_angle_gamma 90.00
loop_
_atom_site_label
_atom_site_fract_x
_atom_site_fract_y
_atom_site_fract_z
Na1 0.000 0.000 0.000
Ga1 0.500 0.500 0.000
Ir1 0.000 0.500 0.500
Pt1 0.000 0.000 0.500
# - electronic total energy (eV for the cell shown) = -22.371


# SbTe2RhBr | Alexandria via LeMat-Bulk | PBE-GGA | relaxed
data_SbTe2RhBr
_space_group_name_H-M_alt 'P 4/m m m'
_space_group_IT_number 123
_space_group_name_Hall '-P 4 2'
_cell_length_a 5.518
_cell_length_b 5.518
_cell_length_c 5.419
_cell_angle_alpha 90.00
_cell_angle_beta 90.00
_cell_angle_gamma 90.00
loop_
_atom_site_label
_atom_site_fract_x
_atom_site_fract_y
_atom_site_fract_z
Sb1 0.000 0.000 0.000
Te1 0.000 0.500 0.500
Rh1 0.500 0.500 0.000
Br1 0.000 0.000 0.500
# - formation energy without anion corrections (eV per atom) = 1.3990
# - ΔE to the lowest computed polymorph (meV per atom) = 1123


Number 1: ρ 6.06 g/cm3. Number 2: ρ 9.43 g/cm3. Number 3: ρ 5.63 g/cm3.